Density functional theory data (PBE with a Hubbard U) for an optimized crystal structure of TlCoSe2O8.

The structure belongs to space group C2/m (No. 12); the cell edges are 8.5188, 5.4908 and 8.3861 Å and the angles 90.00°, 94.96° and 90.00°. Symmetry generates all atoms from Tl at (0.0000, 0.0000, 0.0000), Co at (0.0000, 0.0000, 0.5000), Se at (0.1294, 0.5000, 0.3115), O at (0.0117, 0.2524, 0.3273), O at (0.1909, 0.5000, 0.1308) and O at (0.2332, 0.0000, 0.5321).

The raw total energy comes out at -5.230 eV/atom. Its total magnetization is 8.0 Bohr magnetons per cell.